# 1
The following is a DFT calculation (GGA-PBE) of a relaxed structure of KNbPO5.

Cell and atoms, written as extended XYZ:
```
64
Lattice="13.354 0.000 0.000 0.000 6.639 0.000 0.000 0.000 11.209" Properties=species:S:1:pos:R:3 pbc="T T T"
K 1.432 1.432 0.000
K 1.730 5.172 8.344
K 4.947 1.853 2.740
K 5.245 4.751 5.604
K 8.109 1.888 0.000
K 8.407 4.786 8.344
K 11.624 1.467 2.740
K 11.922 5.207 5.604
Nb 1.699 3.288 5.031
Nb 3.240 5.020 2.209
Nb 3.437 1.701 7.814
Nb 4.978 6.607 10.635
Nb 8.376 0.032 5.031
Nb 9.917 4.938 2.209
Nb 10.115 1.619 7.814
Nb 11.655 3.351 10.635
P 0.068 2.277 7.890
P 2.369 6.636 5.070
P 4.308 3.317 10.675
P 6.609 5.596 2.286
P 6.745 1.043 7.890
P 9.046 3.322 5.070
P 10.985 0.003 10.675
P 13.286 4.362 2.286
O 0.089 3.502 3.577
O 0.245 3.249 6.687
O 1.156 5.287 2.047
O 1.318 1.365 8.081
O 1.446 1.224 4.844
O 1.456 5.402 5.338
O 2.938 3.618 3.622
O 3.034 3.026 6.407
O 3.274 6.423 3.825
O 3.314 0.179 6.292
O 3.363 3.499 0.687
O 3.403 3.104 9.430
O 3.643 6.345 0.802
O 3.740 0.299 9.226
O 5.221 2.083 10.943
O 5.231 4.543 10.449
O 5.359 4.684 2.476
O 5.521 1.968 7.651
O 6.432 6.568 1.082
O 6.588 0.183 9.182
O 6.766 6.456 3.577
O 6.922 0.071 6.687
O 7.833 4.671 2.047
O 7.995 1.955 8.081
O 8.123 2.096 4.844
O 8.133 4.556 5.338
O 9.615 6.340 3.622
O 9.711 0.294 6.407
O 9.951 3.535 3.825
O 9.991 3.140 6.292
O 10.040 6.460 0.687
O 10.080 0.216 9.430
O 10.320 3.613 0.802
O 10.417 3.021 9.226
O 11.898 1.237 10.943
O 11.908 5.415 10.449
O 12.036 5.274 2.476
O 12.198 1.352 7.651
O 13.110 3.390 1.082
O 13.265 3.137 9.182
```

Output
The value obtained for the calculated volume is 993.8 Å³ per cell. The density of states at the Fermi level comes out at 15.03 states/eV/cell. For the total energy, the calculation gives -481.4 eV per cell.

---

# 2
The following is a DFT calculation (GGA-PBE) of a relaxed structure of ZrReAs2.

Cell and atoms, written as extended XYZ:
```
4
Lattice="-1.605 2.548 4.450 1.605 -2.548 4.450 1.605 2.548 -4.450" Properties=species:S:1:pos:R:3 pbc="T T T"
Zr 0.000 0.000 0.000
Re 0.000 0.000 4.450
As 1.605 0.000 2.521
As 0.000 2.548 1.930
```

Output
The value obtained for the calculated volume is 72.8 Å³ per cell. The density of states at the Fermi level comes out at 2.71 states/eV/cell. Its formation energy is -0.02 eV per atom. For the total energy, the calculation gives -30.4 eV per cell.

---

# 3
The following is a DFT calculation (GGA-PBE) of a relaxed structure of ScTl6.

Cell and atoms, written as extended XYZ:
```
7
Lattice="-4.210 4.210 4.210 4.210 -4.210 4.210 4.210 4.210 -4.210" Properties=species:S:1:pos:R:3 pbc="T T T"
Sc 0.000 0.000 0.000
Tl 4.210 2.105 0.000
Tl 4.210 0.000 2.105
Tl 2.105 4.210 0.000
Tl 2.105 0.000 4.210
Tl 0.000 4.210 2.105
Tl 0.000 2.105 4.210
```

Output
The value obtained for the calculated volume is 298.5 Å³ per cell. The density of states at the Fermi level comes out at 9.84 states/eV/cell. Its formation energy is 0.68 eV per atom. For the total energy, the calculation gives -15.8 eV per cell.

---

# 4
The following is a DFT calculation (GGA-PBE) of a relaxed structure of Sr2ZnCdAg6.

Cell and atoms, written as extended XYZ:
```
10
Lattice="6.546 -2.848 0.000 6.546 2.848 0.000 -6.370 0.000 6.755" Properties=species:S:1:pos:R:3 pbc="T T T"
Sr 1.897 0.000 1.419
Sr 4.826 0.000 5.336
Zn -3.185 0.000 3.378
Cd 6.546 0.000 0.000
Ag 1.806 1.427 4.971
Ag -0.479 0.000 3.957
Ag 4.916 1.427 1.784
Ag 1.806 -1.427 4.971
Ag 7.202 0.000 2.798
Ag 4.916 -1.427 1.784
```

Output
The value obtained for the calculated volume is 251.9 Å³ per cell. The density of states at the Fermi level comes out at 3.50 states/eV/cell. Its formation energy is -0.14 eV per atom. For the total energy, the calculation gives -24.1 eV per cell.

---

# 5
The following is a DFT calculation (GGA-PBE) of a relaxed structure of Ho5TmSc2.

Cell and atoms, written as extended XYZ:
```
8
Lattice="0.000 5.480 6.103 3.527 0.000 6.103 3.527 5.480 0.000" Properties=species:S:1:pos:R:3 pbc="T T T"
Ho 0.000 0.000 0.000
Ho 1.764 2.740 5.071
Ho 5.293 5.480 9.110
Ho 5.291 8.220 11.174
Ho 1.762 5.480 9.110
Tm 3.527 5.480 6.099
Sc 3.527 2.744 8.100
Sc 3.527 8.216 8.100
```

Output
The value obtained for the calculated volume is 236.0 Å³ per cell. The density of states at the Fermi level comes out at 14.41 states/eV/cell. Its formation energy is 0.02 eV per atom. For the total energy, the calculation gives -39.9 eV per cell.

---

# 6
The following is a DFT calculation (GGA-PBE) of a relaxed structure of Sm4CuOs.

Cell and atoms, written as extended XYZ:
```
24
Lattice="0.000 6.837 6.837 6.837 0.000 6.837 6.837 6.837 0.000" Properties=species:S:1:pos:R:3 pbc="T T T"
Sm 3.418 3.418 0.768
Sm 3.418 0.768 3.418
Sm 6.068 3.418 3.418
Sm 6.837 6.837 2.594
Sm 6.837 2.594 6.837
Sm 11.079 6.837 6.837
Sm 8.208 5.466 5.466
Sm 0.768 3.418 3.418
Sm 3.418 6.068 3.418
Sm 3.418 3.418 6.068
Sm 5.466 8.208 5.466
Sm 5.466 5.466 8.208
Sm 8.208 8.208 8.208
Sm 2.594 6.837 6.837
Sm 6.837 11.079 6.837
Sm 6.837 6.837 11.079
Cu 11.420 9.091 9.091
Cu 9.091 11.420 9.091
Cu 9.091 9.091 11.420
Cu 11.420 11.420 11.420
Os 5.316 5.316 5.316
Os 8.358 8.358 5.316
Os 8.358 5.316 8.358
Os 5.316 8.358 8.358
```

Output
The value obtained for the calculated volume is 639.1 Å³ per cell. The density of states at the Fermi level comes out at 25.98 states/eV/cell. Its formation energy is -0.09 eV per atom. For the total energy, the calculation gives -139.0 eV per cell.

---

# 7
The following is a DFT calculation (GGA-PBE) of a relaxed structure of Tl2CrAs.

Cell and atoms, written as extended XYZ:
```
4
Lattice="2.119 -2.567 0.000 2.119 2.567 0.000 0.000 0.000 8.603" Properties=species:S:1:pos:R:3 pbc="T T T"
Tl 0.000 0.000 2.073
Tl 0.000 0.000 6.530
Cr 2.119 0.000 0.000
As 2.119 0.000 4.301
```

Output
The value obtained for the calculated volume is 93.6 Å³ per cell. The density of states at the Fermi level comes out at 2.18 states/eV/cell. Its formation energy is 0.55 eV per atom. For the total energy, the calculation gives -16.8 eV per cell.

---

# 8
The following is a DFT calculation (GGA-PBE) of a relaxed structure of Y2AlPt.

Cell and atoms, written as extended XYZ:
```
8
Lattice="-3.965 3.965 3.223 3.965 -3.965 3.223 3.965 3.965 -3.223" Properties=species:S:1:pos:R:3 pbc="T T T"
Y 5.948 1.693 -0.806
Y 1.693 1.983 0.806
Y -1.983 2.272 2.417
Y 2.272 1.983 4.029
Al 3.965 0.000 1.612
Al 0.000 0.000 3.223
Pt 0.000 0.000 0.000
Pt 0.000 3.965 1.612
```

Output
The value obtained for the calculated volume is 202.7 Å³ per cell. The density of states at the Fermi level comes out at 8.25 states/eV/cell. Its formation energy is -0.37 eV per atom. For the total energy, the calculation gives -48.4 eV per cell.

---

# 9
The following is a DFT calculation (GGA-PBE) of a relaxed structure of Sm5Ho8In.

Cell and atoms, written as extended XYZ:
```
14
Lattice="-4.801 4.801 4.955 4.801 -4.801 4.955 4.801 4.801 -4.955" Properties=species:S:1:pos:R:3 pbc="T T T"
Sm 0.000 0.000 0.000
Sm 2.034 -0.979 4.150
Sm 3.822 2.767 0.806
Sm 2.767 5.780 -0.806
Sm 0.979 2.034 5.761
Ho 3.131 -0.657 0.897
Ho 3.979 3.011 -2.514
Ho 6.471 0.657 0.897
Ho 5.459 -1.670 4.058
Ho 0.823 1.790 2.441
Ho 4.144 1.670 4.058
Ho 1.790 -0.823 7.470
Ho 3.011 5.624 2.514
In 0.000 4.801 2.478
```

Output
The value obtained for the calculated volume is 456.9 Å³ per cell. The density of states at the Fermi level comes out at 16.64 states/eV/cell. Its formation energy is 0.18 eV per atom. For the total energy, the calculation gives -60.4 eV per cell.

---

# 10
The following is a DFT calculation (GGA-PBE) of a relaxed structure of CaNb2Ir2.

Cell and atoms, written as extended XYZ:
```
10
Lattice="8.051 0.000 0.000 0.000 8.051 0.000 0.000 0.000 2.865" Properties=species:S:1:pos:R:3 pbc="T T T"
Ca 0.000 0.000 0.000
Ca 4.025 4.025 0.000
Nb 1.132 2.893 0.000
Nb 2.893 6.918 0.000
Nb 5.158 1.132 0.000
Nb 6.918 5.158 0.000
Ir 1.221 5.247 1.433
Ir 2.804 1.221 1.433
Ir 5.247 6.829 1.433
Ir 6.829 2.804 1.433
```

Output
The value obtained for the calculated volume is 185.7 Å³ per cell. The density of states at the Fermi level comes out at 8.07 states/eV/cell. Its formation energy is -0.32 eV per atom. For the total energy, the calculation gives -82.9 eV per cell.

---

# 11
The following is a DFT calculation (GGA-PBE) of a relaxed structure of SrMgAl2Ag4.

Cell and atoms, written as extended XYZ:
```
8
Lattice="2.296 1.326 9.191 -2.296 1.326 9.191 0.000 -2.652 9.191" Properties=species:S:1:pos:R:3 pbc="T T T"
Sr 0.000 0.000 0.000
Mg 0.000 0.000 13.786
Al 0.000 0.000 6.577
Al 0.000 0.000 20.996
Ag 0.000 0.000 3.570
Ag 0.000 0.000 11.136
Ag 0.000 0.000 16.437
Ag 0.000 0.000 24.003
```

Output
The value obtained for the calculated volume is 167.9 Å³ per cell. The density of states at the Fermi level comes out at 2.95 states/eV/cell. Its formation energy is -0.18 eV per atom. For the total energy, the calculation gives -23.6 eV per cell.

---

# 12
The following is a DFT calculation (GGA-PBE) of a relaxed structure of Sm5ThSc.

Cell and atoms, written as extended XYZ:
```
7
Lattice="3.546 -5.038 0.000 3.546 5.038 0.000 -1.811 0.000 6.629" Properties=species:S:1:pos:R:3 pbc="T T T"
Sm 0.000 0.000 0.000
Sm 1.707 2.801 1.795
Sm 3.573 2.801 4.834
Sm 1.707 -2.801 1.795
Sm 3.573 -2.801 4.834
Th 3.546 0.000 0.000
Sc 2.640 0.000 3.314
```

Output
The value obtained for the calculated volume is 236.8 Å³ per cell. The density of states at the Fermi level comes out at 10.04 states/eV/cell. Its formation energy is 0.23 eV per atom. For the total energy, the calculation gives -35.7 eV per cell.

---

# 13
The following is a DFT calculation (GGA-PBE) of a relaxed structure of InSi2Pt.

Cell and atoms, written as extended XYZ:
```
8
Lattice="-2.207 2.207 8.025 2.207 -2.207 8.025 2.207 2.207 -8.025" Properties=species:S:1:pos:R:3 pbc="T T T"
In 0.000 0.000 0.000
In 0.000 2.207 4.012
Si 1.104 -0.725 6.019
Si 1.482 1.104 2.006
Si 1.104 2.933 -2.006
Si 0.725 1.104 10.031
Pt 2.207 0.000 4.012
Pt 0.000 0.000 8.025
```

Output
The value obtained for the calculated volume is 156.4 Å³ per cell. The density of states at the Fermi level comes out at 4.26 states/eV/cell. For the total energy, the calculation gives -39.7 eV per cell.

---

# 14
The following is a DFT calculation (GGA-PBE) of a relaxed structure of Ac6Bi5I.

Cell and atoms, written as extended XYZ:
```
12
Lattice="4.220 -7.304 0.000 4.220 7.304 0.000 -2.799 0.000 7.936" Properties=species:S:1:pos:R:3 pbc="T T T"
Ac -0.046 2.529 5.888
Ac 1.302 0.000 2.021
Ac -0.046 -2.529 5.888
Ac 5.688 2.529 2.048
Ac 4.339 0.000 5.915
Ac 5.688 -2.529 2.048
Bi -1.399 0.000 3.968
Bi 4.220 4.854 0.000
Bi 2.821 2.360 3.968
Bi 2.821 -2.360 3.968
Bi 4.220 -4.854 0.000
I 4.220 0.000 0.000
```

Output
The value obtained for the calculated volume is 489.2 Å³ per cell. The density of states at the Fermi level comes out at 3.09 states/eV/cell. For the total energy, the calculation gives -57.9 eV per cell.

---

# 15
The following is a DFT calculation (GGA-PBE) of a relaxed structure of Ba6Sn2Pd.

Cell and atoms, written as extended XYZ:
```
18
Lattice="8.086 0.000 0.000 0.000 8.909 0.000 -8.069 0.000 11.690" Properties=species:S:1:pos:R:3 pbc="T T T"
Ba -2.563 1.671 5.163
Ba -6.597 2.784 11.008
Ba -1.464 6.073 5.186
Ba -5.498 7.291 11.031
Ba 0.899 0.278 2.976
Ba -3.135 4.176 8.821
Ba 3.152 4.733 2.869
Ba -0.882 8.631 8.714
Ba 5.515 1.618 0.659
Ba 1.481 2.836 6.504
Ba 6.614 6.126 0.682
Ba 2.580 7.238 6.527
Sn -4.272 0.820 8.751
Sn -0.238 3.635 2.906
Sn 0.255 5.274 8.783
Sn 4.290 8.090 2.939
Pd 0.000 0.000 0.000
Pd -4.034 4.455 5.845
```

Output
The value obtained for the calculated volume is 842.1 Å³ per cell. The density of states at the Fermi level comes out at 9.90 states/eV/cell. Its formation energy is -0.48 eV per atom. For the total energy, the calculation gives -58.1 eV per cell.

---

# 16
The following is a DFT calculation (GGA-PBE) of a relaxed structure of HgTe2Se2.

Cell and atoms, written as extended XYZ:
```
5
Lattice="-2.938 2.938 5.577 2.938 -2.938 5.577 2.938 2.938 -5.577" Properties=species:S:1:pos:R:3 pbc="T T T"
Hg 0.000 0.000 0.000
Te 0.000 0.000 2.701
Te 0.000 0.000 8.453
Se 2.938 0.000 2.789
Se 0.000 2.938 2.789
```

Output
The value obtained for the calculated volume is 192.5 Å³ per cell. The density of states at the Fermi level comes out at 1.81 states/eV/cell. For the total energy, the calculation gives -13.2 eV per cell.

---

# 17
The following is a DFT calculation (GGA-PBE) of a relaxed structure of ScCr2CI.

Cell and atoms, written as extended XYZ:
```
5
Lattice="5.330 0.000 0.000 0.000 5.330 0.000 0.000 0.000 5.370" Properties=species:S:1:pos:R:3 pbc="T T T"
Sc 0.000 0.000 0.000
Cr 0.000 2.665 0.000
Cr 2.665 0.000 0.000
C 2.665 2.665 2.685
I 0.000 0.000 2.685
```

Output
The value obtained for the calculated volume is 152.6 Å³ per cell. The density of states at the Fermi level comes out at 4.71 states/eV/cell. For the total energy, the calculation gives -24.4 eV per cell.

---

# 18
The following is a DFT calculation (GGA-PBE) of a relaxed structure of Zr2Be2Ni.

Cell and atoms, written as extended XYZ:
```
10
Lattice="6.279 0.000 0.000 0.000 6.279 0.000 0.000 0.000 3.737" Properties=species:S:1:pos:R:3 pbc="T T T"
Zr 1.097 2.043 0.000
Zr 2.043 5.182 0.000
Zr 4.237 1.097 0.000
Zr 5.182 4.237 0.000
Be 0.779 3.918 1.868
Be 2.361 0.779 1.868
Be 3.918 5.500 1.868
Be 5.500 2.361 1.868
Ni 0.000 0.000 1.868
Ni 3.140 3.140 1.868
```

Output
The value obtained for the calculated volume is 147.3 Å³ per cell. The density of states at the Fermi level comes out at 9.06 states/eV/cell. Its formation energy is -0.22 eV per atom. For the total energy, the calculation gives -62.9 eV per cell.

---

# 19
The following is a DFT calculation (GGA-PBE) of a relaxed structure of LiAlCd.

Cell and atoms, written as extended XYZ:
```
6
Lattice="3.027 0.000 0.000 0.000 4.692 0.000 -1.356 0.000 7.634" Properties=species:S:1:pos:R:3 pbc="T T T"
Li 0.000 0.000 0.000
Li 0.036 2.346 3.360
Al 1.530 2.346 0.790
Al 1.651 2.346 6.086
Cd 0.096 0.000 5.080
Cd 1.536 0.000 2.404
```

Output
The value obtained for the calculated volume is 108.4 Å³ per cell. The density of states at the Fermi level comes out at 1.13 states/eV/cell. Its formation energy is -0.13 eV per atom. For the total energy, the calculation gives -13.9 eV per cell.

---

# 20
The following is a DFT calculation (GGA-PBE) of a relaxed structure of SrPaF6.

Cell and atoms, written as extended XYZ:
```
8
Lattice="3.731 -3.149 0.000 3.731 3.149 0.000 -2.224 0.000 5.924" Properties=species:S:1:pos:R:3 pbc="T T T"
Sr 0.000 0.000 0.000
Pa 2.620 0.000 2.962
F 2.549 1.370 1.204
F 0.466 0.000 2.618
F 2.691 1.370 4.721
F 2.549 -1.370 1.204
F 4.773 0.000 3.306
F 2.691 -1.370 4.721
```

Output
The value obtained for the calculated volume is 139.2 Å³ per cell. For the total energy, the calculation gives -52.9 eV per cell.